! PBE-GGA SmSn2Pt, optimized geometry; values from VASP
&SYSTEM
  ibrav = 0, nat = 16, ntyp = 3
/
ATOMIC_SPECIES
Sm 150.36 Sm.upf
Sn 118.71 Sn.upf
Pt 195.08 Pt.upf
ATOMIC_POSITIONS crystal
Sm 0.202 0.202 0.000
Sm 0.233 0.000 0.233
Sm 0.767 0.000 0.767
Sm 0.798 0.798 0.000
Sn 0.078 0.578 0.500
Sn 0.144 0.801 0.343
Sn 0.420 0.420 0.000
Sn 0.458 0.801 0.657
Sn 0.542 0.199 0.343
Sn 0.580 0.580 0.000
Sn 0.856 0.199 0.657
Sn 0.922 0.422 0.500
Pt 0.098 0.352 0.746
Pt 0.394 0.648 0.746
Pt 0.606 0.352 0.254
Pt 0.902 0.648 0.254
CELL_PARAMETERS angstrom
-2.314 4.749 8.844
2.314 -4.749 8.844
2.314 4.749 -8.844
! - E_form (kJ/mol of formula units) = -308
! - mass density (g cm⁻³) = 9.960
! - density of states at the Fermi level (states/eV/atom) = 0.34